(1)
VASP calculation (PBE) on an optimized crystal structure of CeAgHgAu.

Cell: 5.0540 5.0540 5.0540 Å, 60.00 60.00 60.00°
Element x y z (fractional)
Ce: 0.0000 0.0000 0.0000
Ag: 0.5000 0.5000 0.5000
Hg: 0.2500 0.2500 0.2500
Au: 0.7500 0.7500 0.7500

E_form   -364 meV per atom

(2)
VASP calculation (PBE) on an optimized crystal structure of MgBe3Cl.

Cell: 4.8266 4.8266 4.8266 Å, 90.00 90.00 90.00°
Element x y z (fractional)
Mg: 0.0000 0.0000 0.0000
Be: 0.0000 0.0000 0.5000
Be: 0.0000 0.5000 0.0000
Be: 0.5000 0.0000 0.0000
Cl: 0.5000 0.5000 0.5000

Distance to the lowest polymorph of the same formula   129.8 kJ/mol of formula units
ΔE_f (raw)   1.392 eV/atom

(3)
VASP calculation (PBE) on an optimized crystal structure of KLaMg2Cd.

Cell: 5.6115 5.6115 5.9792 Å, 90.00 90.00 90.00°
Element x y z (fractional)
K: 0.0000 0.0000 0.0000
La: 0.0000 0.0000 0.5000
Mg: 0.0000 0.5000 0.0000
Mg: 0.5000 0.0000 0.0000
Cd: 0.5000 0.5000 0.5000

E_form   1029 meV per atom

(4)
VASP calculation (PBE) on an optimized crystal structure of PrNdInAg.

Cell: 5.4397 5.4397 5.4397 Å, 60.00 60.00 60.00°
Element x y z (fractional)
Pr: 0.0000 0.0000 0.0000
Nd: 0.5000 0.5000 0.5000
In: 0.7500 0.7500 0.7500
Ag: 0.2500 0.2500 0.2500

E_form   -364 meV per atom

(5)
VASP calculation (PBE) on an optimized crystal structure of Ba2CaSb2.

Cell: 10.8160 8.9991 8.8124 Å, 90.00 96.62 90.00°
Element x y z (fractional)
Ba: 0.0775 0.2298 0.0279
Ba: 0.0775 0.2702 0.5279
Ba: 0.3302 0.6810 0.9679
Ba: 0.3302 0.8190 0.4679
Ba: 0.6698 0.1810 0.5321
Ba: 0.6698 0.3190 0.0321
Ba: 0.9225 0.7298 0.4721
Ba: 0.9225 0.7702 0.9721
Ca: 0.3759 0.0974 0.8457
Ca: 0.3759 0.4026 0.3457
Ca: 0.6241 0.5974 0.6543
Ca: 0.6241 0.9026 0.1543
Sb: 0.1278 0.5638 0.2424
Sb: 0.1278 0.9362 0.7424
Sb: 0.3945 0.0933 0.2046
Sb: 0.3945 0.4067 0.7046
Sb: 0.6055 0.5933 0.2954
Sb: 0.6055 0.9067 0.7954
Sb: 0.8722 0.0638 0.2576
Sb: 0.8722 0.4362 0.7576

Distance to the lowest polymorph of the same formula   0.0 kJ/mol of formula units
ΔE_f (raw)   -1.041 eV/atom

(6)
VASP calculation (PBE) on an optimized crystal structure of TbY2Au.

Cell: 6.9990 9.8183 6.6939 Å, 90.00 90.00 90.00°
Element x y z (fractional)
Tb: 0.0130 0.2500 0.1213
Tb: 0.4870 0.7500 0.6213
Tb: 0.5130 0.2500 0.3787
Tb: 0.9870 0.7500 0.8787
Y: 0.1931 0.0550 0.6912
Y: 0.1931 0.4450 0.6912
Y: 0.3069 0.5550 0.1911
Y: 0.3069 0.9450 0.1911
Y: 0.6931 0.0550 0.8088
Y: 0.6931 0.4450 0.8088
Y: 0.8069 0.5550 0.3088
Y: 0.8069 0.9450 0.3088
Au: 0.0937 0.7500 0.4568
Au: 0.4063 0.2500 0.9568
Au: 0.5937 0.7500 0.0432
Au: 0.9063 0.2500 0.5432

Distance to the lowest polymorph of the same formula   0.0 kJ/mol of formula units
E_form   -452 meV per atom

(7)
VASP calculation (PBE) on an optimized crystal structure of Sm3Al8Pt3.

Cell: 8.2502 8.2502 9.1562 Å, 123.33 123.33 31.28°
Element x y z (fractional)
Sm: 0.0000 0.0000 0.0000
Sm: 0.2867 0.2867 0.2982
Sm: 0.7133 0.7133 0.7018
Al: 0.1328 0.1328 0.4232
Al: 0.1525 0.1525 0.8674
Al: 0.3479 0.3479 0.7155
Al: 0.4939 0.4939 0.3255
Al: 0.5061 0.5061 0.6745
Al: 0.6521 0.6521 0.2845
Al: 0.8475 0.8475 0.1326
Al: 0.8672 0.8672 0.5768
Pt: 0.0000 0.0000 0.5000
Pt: 0.3512 0.3512 0.9968
Pt: 0.6488 0.6488 0.0032

E_form   -845 meV per atom

(8)
VASP calculation (PBE) on an optimized crystal structure of CaYCr2.

Cell: 6.4719 6.4719 6.4719 Å, 103.96 103.96 121.17°
Element x y z (fractional)
Ca: 0.0000 0.0000 0.0000
Ca: 0.7500 0.2500 0.5000
Y: 0.2500 0.7500 0.5000
Y: 0.5000 0.5000 0.0000
Cr: 0.1290 0.6250 0.0040
Cr: 0.3750 0.3790 0.5040
Cr: 0.6210 0.1250 0.9960
Cr: 0.8750 0.8710 0.4960

E_form   910 meV per atom

| no. | electronic total energy (eV per atom) | total moment (μB per formula unit) |
| --- | --- | --- |
| 1 | -3.455 | 0.94 |
| 2 | -1.532 | 0.00 |
| 3 | -0.997 | 0.00 |
| 4 | -4.148 | 0.46 |
| 5 | -3.860 | 0.00 |
| 6 | -5.661 | 0.00 |
| 7 | -5.289 | 0.00 |
| 8 | -6.018 | 7.78 |